# 1
VASP calculation (PBE) on a relaxed structure of KCr2InRu.

```
data_KCr2InRu
_chemical_formula_sum 'K1 Cr2 In1 Ru1'
_space_group_name_H-M_alt 'P 4/m m m'
_space_group_IT_number 123
_space_group_name_Hall '-P 4 2'
_cell_length_a 5.0134
_cell_length_b 5.0134
_cell_length_c 4.6703
_cell_angle_alpha 90.00
_cell_angle_beta 90.00
_cell_angle_gamma 90.00
loop_
_atom_site_label
_atom_site_type_symbol
_atom_site_fract_x
_atom_site_fract_y
_atom_site_fract_z
K1 K 0.0000 0.0000 0.0000
Cr1 Cr 0.0000 0.5000 0.0000
In1 In 0.5000 0.5000 0.5000
Ru1 Ru 0.0000 0.0000 0.5000
```

## Properties
E_tot	-21.3	eV per cell
DOS(E_F)	3.35	states/eV/cell
energy of formation from the pure elements	2.22	eV per atom



# 2
VASP calculation (PBE) on a relaxed structure of K3Cr2InS6.

```
data_K3Cr2InS6
_chemical_formula_sum 'K6 Cr4 In2 S12'
_space_group_name_H-M_alt 'C 1 2/m 1'
_space_group_IT_number 12
_space_group_name_Hall '-C 2y'
_cell_length_a 6.5156
_cell_length_b 11.2848
_cell_length_c 7.4894
_cell_angle_alpha 90.00
_cell_angle_beta 106.92
_cell_angle_gamma 90.00
loop_
_atom_site_label
_atom_site_type_symbol
_atom_site_fract_x
_atom_site_fract_y
_atom_site_fract_z
K1 K 0.0000 0.0000 0.0000
K2 K 0.0000 0.3381 0.0000
Cr1 Cr 0.0000 0.1670 0.5000
In1 In 0.0000 0.5000 0.5000
S1 S 0.2058 0.0000 0.6810
S2 S 0.2385 0.3225 0.6825
```

## Properties
E_tot	-121.8	eV per cell
formation energy (no corrections)	-20.9	kcal/mol of atoms



# 3
VASP calculation (PBE) on a relaxed structure of K2CrInS4.

```
data_K2CrInS4
_chemical_formula_sum 'K8 Cr4 In4 S16'
_space_group_name_H-M_alt 'I m m a'
_space_group_IT_number 74
_space_group_name_Hall '-I 2b 2'
_cell_length_a 7.8173
_cell_length_b 8.1064
_cell_length_c 11.2733
_cell_angle_alpha 90.00
_cell_angle_beta 90.00
_cell_angle_gamma 90.00
loop_
_atom_site_label
_atom_site_type_symbol
_atom_site_fract_x
_atom_site_fract_y
_atom_site_fract_z
K1 K 0.0000 0.0000 0.0000
K2 K 0.2500 0.2500 0.2500
Cr1 Cr 0.2500 0.2500 0.7500
In1 In 0.0000 0.0000 0.5000
S1 S 0.0000 0.0519 0.7380
S2 S 0.2243 0.2500 0.5279
```

## Properties
E_tot	-150.7	eV per cell
formation energy (no corrections)	-19.0	kcal/mol of atoms



# 4
VASP calculation (PBE) on a relaxed structure of KCr2InSe.

```
data_KCr2InSe
_chemical_formula_sum 'K1 Cr2 In1 Se1'
_space_group_name_H-M_alt 'P 4/m m m'
_space_group_IT_number 123
_space_group_name_Hall '-P 4 2'
_cell_length_a 5.3115
_cell_length_b 5.3115
_cell_length_c 5.7529
_cell_angle_alpha 90.00
_cell_angle_beta 90.00
_cell_angle_gamma 90.00
loop_
_atom_site_label
_atom_site_type_symbol
_atom_site_fract_x
_atom_site_fract_y
_atom_site_fract_z
K1 K 0.0000 0.0000 0.0000
Cr1 Cr 0.0000 0.5000 0.5000
In1 In 0.5000 0.5000 0.5000
Se1 Se 0.5000 0.5000 0.0000
```

## Properties
E_tot	-23.0	eV per cell
formation energy (no corrections)	16.6	kcal/mol of atoms
DOS(E_F)	2.72	states/eV/cell



# 5
VASP calculation (PBE) on a relaxed structure of KCr2InSe.

```
data_KCr2InSe
_chemical_formula_sum 'K1 Cr2 In1 Se1'
_space_group_name_H-M_alt 'P 4/m m m'
_space_group_IT_number 123
_space_group_name_Hall '-P 4 2'
_cell_length_a 4.9676
_cell_length_b 4.9676
_cell_length_c 6.2979
_cell_angle_alpha 90.00
_cell_angle_beta 90.00
_cell_angle_gamma 90.00
loop_
_atom_site_label
_atom_site_type_symbol
_atom_site_fract_x
_atom_site_fract_y
_atom_site_fract_z
K1 K 0.0000 0.0000 0.0000
Cr1 Cr 0.0000 0.5000 0.5000
In1 In 0.5000 0.5000 0.0000
Se1 Se 0.5000 0.5000 0.5000
```

## Properties
E_tot	-24.0	eV per cell
formation energy (no corrections)	11.8	kcal/mol of atoms
DOS(E_F)	2.09	states/eV/cell



# 6
VASP calculation (PBE) on a relaxed structure of K2CrInSe4.

```
data_K2CrInSe4
_chemical_formula_sum 'K8 Cr4 In4 Se16'
_space_group_name_H-M_alt 'I m m a'
_space_group_IT_number 74
_space_group_name_Hall '-I 2b 2'
_cell_length_a 8.1903
_cell_length_b 8.5041
_cell_length_c 11.8127
_cell_angle_alpha 90.00
_cell_angle_beta 90.00
_cell_angle_gamma 90.00
loop_
_atom_site_label
_atom_site_type_symbol
_atom_site_fract_x
_atom_site_fract_y
_atom_site_fract_z
K1 K 0.0000 0.0000 0.0000
K2 K 0.2500 0.2500 0.2500
Cr1 Cr 0.2500 0.2500 0.7500
In1 In 0.0000 0.0000 0.5000
Se1 Se 0.0000 0.0502 0.7388
Se2 Se 0.2260 0.2500 0.5269
```

## Properties
E_tot	-138.4	eV per cell
formation energy (no corrections)	-17.6	kcal/mol of atoms
DOS(E_F)	1.96	states/eV/cell



# 7
VASP calculation (PBE) on a relaxed structure of LaCr2In.

```
data_LaCr2In
_chemical_formula_sum 'La3 Cr6 In3'
_space_group_name_H-M_alt 'R 3 m'
_space_group_IT_number 160
_space_group_name_Hall 'R 3 -2"'
_cell_length_a 3.2018
_cell_length_b 3.2018
_cell_length_c 28.1363
_cell_angle_alpha 90.00
_cell_angle_beta 90.00
_cell_angle_gamma 120.00
loop_
_atom_site_label
_atom_site_type_symbol
_atom_site_fract_x
_atom_site_fract_y
_atom_site_fract_z
La1 La 0.0000 0.0000 0.0000
Cr1 Cr 0.0000 0.0000 0.4792
Cr2 Cr 0.0000 0.0000 0.7586
In1 In 0.0000 0.0000 0.2278
```

## Properties
E_tot	-74.6	eV per cell
DOS(E_F)	14.86	states/eV/cell
energy of formation from the pure elements	0.51	eV per atom



# 8
VASP calculation (PBE) on a relaxed structure of La2CrIn.

```
data_La2CrIn
_chemical_formula_sum 'La8 Cr4 In4'
_space_group_name_H-M_alt 'I -4 2 d'
_space_group_IT_number 122
_space_group_name_Hall 'I -4 2bw'
_cell_length_a 8.5320
_cell_length_b 8.5320
_cell_length_c 6.2816
_cell_angle_alpha 90.00
_cell_angle_beta 90.00
_cell_angle_gamma 90.00
loop_
_atom_site_label
_atom_site_type_symbol
_atom_site_fract_x
_atom_site_fract_y
_atom_site_fract_z
La1 La 0.2061 0.2500 0.1250
Cr1 Cr 0.0000 0.0000 0.0000
In1 In 0.0000 0.0000 0.5000
```

## Properties
E_tot	-84.0	eV per cell
DOS(E_F)	18.59	states/eV/cell
energy of formation from the pure elements	0.31	eV per atom